Record 1
Tb6Mn23: single point on PBEsol structure, SCAN.

Unit cell a=11.746 b=11.746 c=11.746 alpha=90.00 beta=90.00 gamma=90.00
Space group Fm-3m (No. 225)
Asymmetric unit:
Tb 0.000 0.000 0.205 [24 per cell]
Mn 0.000 0.000 0.500 [4 per cell]
Mn 0.000 0.250 0.250 [24 per cell]
Mn 0.122 0.122 0.378 [32 per cell]
Mn 0.178 0.178 0.178 [32 per cell]

Electronic total energy   -24.246 eV per atom
Calculated volume   14.0 A^3/atom
Crystal system   cubic

Record 2
BePSeO2: single point on PBEsol structure, SCAN.

Unit cell a=3.653 b=3.653 c=4.967 alpha=90.00 beta=90.00 gamma=90.00
Space group P4/mmm (No. 123)
Asymmetric unit:
Be 0.000 0.000 0.000 [1 per cell]
P 0.500 0.500 0.000 [1 per cell]
Se 0.500 0.500 0.500 [1 per cell]
O 0.000 0.500 0.500 [2 per cell]

Raw formation energy   0.259 eV per atom
Calculated volume   13.3 A^3/atom
Crystal system   tetragonal

Record 3
Ti2GaCuPd: single point on PBEsol structure, SCAN.

Unit cell a=4.634 b=4.634 c=4.464 alpha=90.00 beta=90.00 gamma=90.00
Space group P4/mmm (No. 123)
Asymmetric unit:
Ti 0.000 0.500 0.000 [2 per cell]
Ga 0.000 0.000 0.000 [1 per cell]
Cu 0.500 0.500 0.500 [1 per cell]
Pd 0.000 0.000 0.500 [1 per cell]

Distance to the lowest polymorph of the same formula   113.1 meV/atom
Calculated volume   19.2 A^3/atom
Crystal system   tetragonal

The highest calculated volume belongs to which entry? Ti2GaCuPd

Please write out number 3 again, unchanged.
Ti2GaCuPd: single point on PBEsol structure, SCAN.

Unit cell a=4.634 b=4.634 c=4.464 alpha=90.00 beta=90.00 gamma=90.00
Space group P4/mmm (No. 123)
Asymmetric unit:
Ti 0.000 0.500 0.000 [2 per cell]
Ga 0.000 0.000 0.000 [1 per cell]
Cu 0.500 0.500 0.500 [1 per cell]
Pd 0.000 0.000 0.500 [1 per cell]

Distance to the lowest polymorph of the same formula   113.1 meV/atom
Calculated volume   19.2 A^3/atom
Crystal system   tetragonal